Here is crystalline BSe2S at its relaxed geometry from the Alexandria database. Energies are from PBE.

a b c (Å): 6.078 6.078 5.926
angles (deg): 59.15 59.15 90.00
Atoms (fractional coordinates):
B  0.250  0.750  0.500
B  0.500  0.500  0.000
S  0.000  0.000  0.000
S  0.750  0.250  0.500
Se  0.205  0.625  0.250
Se  0.545  0.125  0.250
Se  0.375  0.455  0.750
Se  0.875  0.795  0.750

## Properties
Mass density in g/cm³: 4.42
D(E_F) in states/eV/atom: 0.908
E_form (uncorrected) in eV per atom: 0.51
Energy above the most stable polymorph in this dataset in kJ/mol of atoms: 0.0



Here is crystalline NdSmSi2Pd2 at its relaxed geometry from the Alexandria database. Energies are from PBE.

a b c (Å): 4.213 4.213 8.332
angles (deg): 90.00 90.00 120.00
Atoms (fractional coordinates):
Sm  0.000  0.000  0.500
Nd  0.000  0.000  0.000
Si  0.667  0.333  0.749
Si  0.333  0.667  0.251
Pd  0.667  0.333  0.256
Pd  0.333  0.667  0.744

## Properties
Mass density in g/cm³: 7.31
D(E_F) in states/eV/atom: 0.901
E_form (uncorrected) in eV per atom: -0.90



Q: mass density of number 2 (NdSmSi2Pd2)?
A: 7.31 g/cm³